No. 1
Below is a relaxed Mn3Al2Ga2 crystal, with properties calculated at the GGA-PBE level.

The space group is C2/m (No. 12) and the conventional cell measures 8.371, 3.708 and 6.294 Å, with angles of 90.00, 101.22 and 90.00 degrees. The distinct sites, in fractional coordinates, are Mn at (0.000, 0.000, 0.000), Mn at (0.076, 0.500, 0.712), Al at (0.135, 0.000, 0.423) and Ga at (0.211, 0.500, 0.139).

The value obtained for the spin magnetization is 14.418 Bohr magnetons per cell. For the calculated formation energy, the calculation gives -1.02 eV/f.u.

No. 2
Below is a relaxed MnAl2Ga crystal, with properties calculated at the GGA-PBE level.

The space group is P4/mmm (No. 123) and the conventional cell measures 3.245, 3.245 and 5.319 Å, with angles of 90.00, 90.00 and 90.00 degrees. The distinct sites, in fractional coordinates, are Mn at (0.000, 0.000, 0.000), Al at (0.500, 0.500, 0.232) and Ga at (0.000, 0.000, 0.500).

The value obtained for the spin magnetization is 0.000 Bohr magnetons per cell. For the calculated formation energy, the calculation gives -0.48 eV/f.u.

No. 3
Below is a relaxed MnAlGa crystal, with properties calculated at the GGA-PBE level.

The space group is Amm2 (No. 38) and the conventional cell measures 4.264, 5.287 and 8.522 Å, with angles of 90.00, 90.00 and 90.00 degrees. The distinct sites, in fractional coordinates, are Mn at (0.000, 0.249, 0.000), Al at (0.000, 0.000, 0.252), Al at (0.500, 0.000, 0.495), Ga at (0.000, 0.000, 0.749) and Ga at (0.500, 0.000, 0.007).

The energy above the most stable polymorph in this dataset is 0 meV per atom. The value obtained for the spin magnetization is 5.408 Bohr magnetons per cell. For the calculated formation energy, the calculation gives -0.57 eV/f.u.

No. 4
Below is a relaxed MnAlGa crystal, with properties calculated at the GGA-PBE level.

The space group is P4_2/mmc (No. 131) and the conventional cell measures 4.262, 4.262 and 5.292 Å, with angles of 90.00, 90.00 and 90.00 degrees. The distinct sites, in fractional coordinates, are Mn at (0.000, 0.000, 0.250), Al at (0.000, 0.500, 0.000) and Ga at (0.000, 0.500, 0.500).

The energy above the most stable polymorph in this dataset is 3 meV per atom. The value obtained for the spin magnetization is 2.784 Bohr magnetons per cell. For the calculated formation energy, the calculation gives -0.56 eV/f.u.